Crystalline ZrPbBrF2 at its relaxed geometry, computed with PBE.

```
data_ZrPbBrF2
_chemical_formula_sum 'Zr1 Pb1 Br1 F2'
_symmetry_space_group_name_H-M 'P 1'
_symmetry_Int_Tables_number 1
_cell_length_a 4.505
_cell_length_b 4.505
_cell_length_c 6.227
_cell_angle_alpha 90.00
_cell_angle_beta 90.00
_cell_angle_gamma 90.00
loop_
_symmetry_equiv_pos_as_xyz
'x,y,z'
loop_
_atom_site_label
_atom_site_type_symbol
_atom_site_fract_x
_atom_site_fract_y
_atom_site_fract_z
_atom_site_occupancy
Zr1 Zr 0.000 0.000 0.000 1
Pb1 Pb 0.000 0.000 0.500 1
Br1 Br 0.500 0.500 0.000 1
F1 F 0.000 0.500 0.500 1
F2 F 0.500 0.000 0.500 1
```

Output
- space-group type = P4/mmm (123)
- E_form (uncorrected) (eV per atom) = -0.991
- total DFT energy (no corrections) (eV for the cell shown) = -22.625
- crystal system = tetragonal
- magnetic moment (μB/f.u.) = 1.92



Crystalline Pd2Br3F at its relaxed geometry, computed with PBE.

```
data_Pd2Br3F
_chemical_formula_sum 'Pd4 Br6 F2'
_symmetry_space_group_name_H-M 'P 1'
_symmetry_Int_Tables_number 1
_cell_length_a 3.472
_cell_length_b 16.444
_cell_length_c 6.397
_cell_angle_alpha 90.00
_cell_angle_beta 105.55
_cell_angle_gamma 90.00
loop_
_symmetry_equiv_pos_as_xyz
'x,y,z'
loop_
_atom_site_label
_atom_site_type_symbol
_atom_site_fract_x
_atom_site_fract_y
_atom_site_fract_z
_atom_site_occupancy
Pd1 Pd 0.000 0.000 0.000 1
Pd2 Pd 0.000 0.500 0.000 1
Pd3 Pd 0.274 0.250 0.534 1
Pd4 Pd 0.726 0.750 0.466 1
Br1 Br 0.359 0.750 0.735 1
Br2 Br 0.382 0.055 0.761 1
Br3 Br 0.382 0.445 0.761 1
Br4 Br 0.618 0.555 0.239 1
Br5 Br 0.618 0.945 0.239 1
Br6 Br 0.641 0.250 0.265 1
F1 F 0.124 0.750 0.261 1
F2 F 0.876 0.250 0.739 1
```

Output
- space-group type = P2_1/m (11)
- E_form (uncorrected) (eV per atom) = -0.467
- total DFT energy (no corrections) (eV for the cell shown) = -40.153
- crystal system = monoclinic
- magnetic moment (μB/f.u.) = 0.00



Crystalline PdBrF2 at its relaxed geometry, computed with PBE.

```
data_PdBrF2
_chemical_formula_sum 'Pd1 Br1 F2'
_symmetry_space_group_name_H-M 'P 1'
_symmetry_Int_Tables_number 1
_cell_length_a 9.650
_cell_length_b 9.650
_cell_length_c 9.650
_cell_angle_alpha 19.52
_cell_angle_beta 19.52
_cell_angle_gamma 19.52
loop_
_symmetry_equiv_pos_as_xyz
'x,y,z'
loop_
_atom_site_label
_atom_site_type_symbol
_atom_site_fract_x
_atom_site_fract_y
_atom_site_fract_z
_atom_site_occupancy
Pd1 Pd 0.000 0.000 0.000 1
Br1 Br 0.500 0.500 0.500 1
F1 F 0.373 0.373 0.373 1
F2 F 0.627 0.627 0.627 1
```

Output
- space-group type = R-3m (166)
- E_form (uncorrected) (eV per atom) = -0.604
- total DFT energy (no corrections) (eV for the cell shown) = -13.024
- crystal system = trigonal
- energy relative to the lowest polymorph listed for this composition (meV/atom) = 208.8
- magnetic moment (μB/f.u.) = 1.86



Crystalline Pd2Br3F at its relaxed geometry, computed with PBE.

```
data_Pd2Br3F
_chemical_formula_sum 'Pd4 Br6 F2'
_symmetry_space_group_name_H-M 'P 1'
_symmetry_Int_Tables_number 1
_cell_length_a 11.627
_cell_length_b 11.627
_cell_length_c 10.031
_cell_angle_alpha 114.18
_cell_angle_beta 114.18
_cell_angle_gamma 17.20
loop_
_symmetry_equiv_pos_as_xyz
'x,y,z'
loop_
_atom_site_label
_atom_site_type_symbol
_atom_site_fract_x
_atom_site_fract_y
_atom_site_fract_z
_atom_site_occupancy
Pd1 Pd 0.093 0.093 0.364 1
Pd2 Pd 0.360 0.360 0.990 1
Pd3 Pd 0.640 0.640 0.010 1
Pd4 Pd 0.907 0.907 0.636 1
Br1 Br 0.068 0.068 0.858 1
Br2 Br 0.214 0.214 0.159 1
Br3 Br 0.401 0.401 0.466 1
Br4 Br 0.599 0.599 0.534 1
Br5 Br 0.786 0.786 0.841 1
Br6 Br 0.932 0.932 0.142 1
F1 F 0.410 0.410 0.766 1
F2 F 0.590 0.590 0.234 1
```

Output
- space-group type = C2/m (12)
- E_form (uncorrected) (eV per atom) = -0.465
- total DFT energy (no corrections) (eV for the cell shown) = -40.131
- crystal system = monoclinic
- magnetic moment (μB/f.u.) = 0.00